18
Lattice="4.949 2.857 5.814 -4.949 2.857 5.814 0.000 -5.715 5.814" Properties=species:S:1:pos:R:3 comment="Ba2LiGa12Pt3 PBE-GGA relaxed" e_form_ev_per_atom=-0.259 space_group="No. 166" pbc="T T T"
Ba 0.000 0.000 3.470
Ba 0.000 0.000 13.972
Li 0.000 0.000 8.721
Ga -2.166 -1.251 8.316
Ga 0.000 -1.888 6.467
Ga -1.635 0.944 6.467
Ga 0.000 -2.502 9.126
Ga -2.166 1.251 9.126
Ga -1.635 -0.944 10.975
Ga 1.635 0.944 6.467
Ga 2.166 -1.251 8.316
Ga 0.000 2.502 8.316
Ga 1.635 -0.944 10.975
Ga 0.000 1.888 10.975
Ga 2.166 1.251 9.126
Pt -2.475 -1.429 5.814
Pt -2.475 1.429 11.628
Pt 0.000 2.857 5.814

12
Lattice="3.604 -6.242 0.000 3.604 6.242 0.000 -2.401 0.000 6.796" Properties=species:S:1:pos:R:3 comment="Tb5NdAs6 PBE-GGA relaxed" e_form_ev_per_atom=-1.533 space_group="No. 12" pbc="T T T"
Tb 0.000 0.000 0.000
Tb 2.404 4.158 3.398
Tb 3.604 2.068 0.000
Tb 3.604 -2.068 0.000
Tb 2.404 -4.158 3.398
Nd 2.404 0.000 3.398
As 1.186 2.108 1.679
As -0.030 0.000 5.113
As 1.186 -2.108 1.679
As 3.622 2.108 5.117
As 4.838 0.000 1.684
As 3.622 -2.108 5.117

6
Lattice="10.197 -1.971 0.000 10.197 1.971 0.000 -0.721 0.000 3.792" Properties=species:S:1:pos:R:3 comment="CaZrAs PBE-GGA relaxed" e_above_lowest_polymorph_mev_per_atom=245 e_form_ev_per_atom=-0.677 space_group="No. 8" pbc="T T T"
Ca 0.000 0.000 0.000
Ca 13.226 0.000 0.574
Zr 4.633 0.000 2.842
Zr 16.846 0.000 1.262
As 1.819 0.000 2.309
As 7.332 0.000 3.355

10
Lattice="7.277 0.000 0.000 0.000 3.934 0.000 -2.234 0.000 7.567" Properties=species:S:1:pos:R:3 comment="NdTmSbO2 PBE-GGA relaxed" space_group="No. 11" final_energy_ev_per_atom=-7.280 pbc="T T T"
Nd 0.363 0.984 3.232
Nd 4.679 2.951 4.336
Tm -0.993 0.984 6.876
Tm 6.035 2.951 0.691
Sb 1.654 2.951 5.898
Sb 3.388 0.984 1.670
O -0.260 0.984 0.908
O -0.739 2.951 2.829
O 5.781 0.984 4.739
O 5.302 2.951 6.659

5
Lattice="4.141 -2.033 0.000 4.141 2.033 0.000 -0.398 0.000 4.684" Properties=species:S:1:pos:R:3 comment="LiGaRePdRu PBE-GGA relaxed" e_above_lowest_polymorph_mev_per_atom=223 e_form_ev_per_atom=0.071 space_group="No. 8" pbc="T T T"
Li 0.000 0.000 0.000
Ga 6.094 0.000 1.384
Re 2.116 0.000 3.527
Pd 3.536 0.000 1.294
Ru 4.872 0.000 3.618

8
Lattice="-3.768 3.768 2.797 3.768 -3.768 2.797 3.768 3.768 -2.797" Properties=species:S:1:pos:R:3 comment="Li2ZnSn PBE-GGA relaxed" e_form_ev_per_atom=-0.052 space_group="No. 122" pbc="T T T"
Li 5.652 1.698 -0.699
Li 1.698 1.884 0.699
Li -1.884 2.070 2.098
Li 2.070 1.884 3.496
Zn 0.000 0.000 0.000
Zn 0.000 3.768 1.399
Sn 3.768 0.000 1.399
Sn 0.000 0.000 2.797

8
Lattice="7.488 0.000 0.000 0.000 4.327 0.000 -2.493 0.000 7.063" Properties=species:S:1:pos:R:3 comment="La2PmPrAs4 PBE-GGA relaxed" e_form_ev_per_atom=-1.543 space_group="No. 10" pbc="T T T"
La 0.000 0.000 0.000
La 3.744 2.163 0.000
Pm -1.246 2.163 3.532
Pr 2.497 0.000 3.532
As -0.011 0.000 5.264
As 1.235 2.163 1.790
As 3.760 2.163 5.273
As 5.006 0.000 1.799

4
Lattice="1.387 0.801 8.152 -1.387 0.801 8.152 0.000 -1.602 8.152" Properties=species:S:1:pos:R:3 comment="Al2CoTc PBE-GGA relaxed" e_above_lowest_polymorph_mev_per_atom=215 e_form_ev_per_atom=-0.205 space_group="No. 166" pbc="T T T"
Al 0.000 0.000 5.980
Al 0.000 0.000 18.476
Co 0.000 0.000 12.228
Tc 0.000 0.000 0.000

8
Lattice="7.706 0.000 0.000 0.000 4.453 0.000 -2.571 0.000 7.267" Properties=species:S:1:pos:R:3 comment="Tb2NdSmSb4 PBE-GGA relaxed" space_group="No. 10" final_energy_ev_per_atom=-5.569 pbc="T T T"
Tb 0.000 0.000 0.000
Tb -1.285 2.227 3.634
Nd 2.568 0.000 3.634
Sm 3.853 2.227 0.000
Sb 1.242 2.227 1.790
Sb -0.044 0.000 5.448
Sb 5.179 0.000 1.820
Sb 3.893 2.227 5.478

8
Lattice="3.445 0.000 0.000 0.000 4.849 0.000 0.000 0.000 9.686" Properties=species:S:1:pos:R:3 comment="Sc4HgAu3 PBE-GGA relaxed" e_form_ev_per_atom=-0.704 space_group="No. 47" pbc="T T T"
Sc 0.000 0.000 0.000
Sc 0.000 0.000 4.843
Sc 0.000 2.424 2.344
Sc 0.000 2.424 7.342
Hg 1.723 2.424 4.843
Au 1.723 0.000 2.451
Au 1.723 0.000 7.235
Au 1.723 2.424 0.000

12
Lattice="0.000 3.848 6.641 2.919 0.000 6.641 2.919 3.848 0.000" Properties=species:S:1:pos:R:3 comment="Ti2Be3Ga PBE-GGA relaxed" e_form_ev_per_atom=-0.270 space_group="No. 69" pbc="T T T"
Ti 4.434 3.848 6.641
Ti 1.459 1.924 3.321
Ti 4.378 5.772 9.962
Ti 1.403 3.848 6.641
Be 2.919 3.848 2.155
Be 2.919 1.870 5.572
Be 2.919 1.870 7.711
Be 2.919 5.826 5.572
Be 2.919 5.826 7.711
Be 2.919 3.848 11.128
Ga 2.919 3.848 4.444
Ga 2.919 3.848 8.838

5
Lattice="3.777 0.000 0.000 0.000 3.777 0.000 0.000 0.000 5.175" Properties=species:S:1:pos:R:3 comment="GaTcPO2 PBE-GGA relaxed" e_above_lowest_polymorph_mev_per_atom=0 space_group="No. 123" pbc="T T T"
Ga 0.000 0.000 0.000
Tc 1.889 1.889 2.588
P 1.889 1.889 0.000
O 0.000 1.889 2.588
O 1.889 0.000 2.588

Which formula does entry 7 have?
La2PmPrAs4